Crystalline Na2MgCl at its relaxed geometry, computed with PBE-GGA.

Lattice parameters (Å, degrees): 5.498 5.498 5.498 60.00 60.00 60.00
Element x y z (fractional)
1 Na 0.250 0.250 0.250
2 Na 0.750 0.750 0.750
3 Mg 0.000 0.000 0.000
4 Cl 0.500 0.500 0.500

Its calculated density is 1494 kg/m³. As for the uncorrected formation energy: -0.374 eV per atom. The calculation puts the energy above the most stable polymorph in this dataset at 182.4 meV/atom.

Crystalline Na2MgCl at its relaxed geometry, computed with PBE-GGA.

Lattice parameters (Å, degrees): 6.897 6.897 6.897 107.34 107.34 113.83
Element x y z (fractional)
1 Na 0.058 0.625 0.933
2 Na 0.375 0.308 0.433
3 Na 0.692 0.125 0.067
4 Na 0.875 0.942 0.567
5 Mg 0.250 0.750 0.500
6 Mg 0.500 0.500 0.000
7 Cl 0.000 0.000 0.000
8 Cl 0.750 0.250 0.500

Its calculated density is 1397 kg/m³. As for the uncorrected formation energy: -0.556 eV per atom. The calculation puts the energy above the most stable polymorph in this dataset at 0.0 meV/atom.

Crystalline NaMgCl2 at its relaxed geometry, computed with PBE-GGA.

Lattice parameters (Å, degrees): 11.705 11.705 11.705 18.03 18.03 18.03
Element x y z (fractional)
1 Na 0.000 0.000 0.000
2 Mg 0.500 0.500 0.500
3 Cl 0.127 0.127 0.127
4 Cl 0.873 0.873 0.873

Its calculated density is 1464 kg/m³. As for the uncorrected formation energy: -1.328 eV per atom. The calculation puts the energy above the most stable polymorph in this dataset at 0.0 meV/atom.

Crystalline NaMg2Cl at its relaxed geometry, computed with PBE-GGA.

Lattice parameters (Å, degrees): 5.508 5.508 5.508 60.00 60.00 60.00
Element x y z (fractional)
1 Na 0.000 0.000 0.000
2 Mg 0.250 0.250 0.250
3 Mg 0.750 0.750 0.750
4 Cl 0.500 0.500 0.500

Its calculated density is 1505 kg/m³. As for the uncorrected formation energy: -0.035 eV per atom. The calculation puts the energy above the most stable polymorph in this dataset at 360.7 meV/atom.

Crystalline Na2Mg2Cl5 at its relaxed geometry, computed with PBE-GGA.

Lattice parameters (Å, degrees): 8.336 8.336 7.011 93.28 93.28 34.94
Element x y z (fractional)
1 Na 0.161 0.161 0.410
2 Na 0.839 0.839 0.590
3 Mg 0.351 0.351 0.068
4 Mg 0.649 0.649 0.932
5 Cl 0.174 0.174 0.017
6 Cl 0.343 0.343 0.417
7 Cl 0.500 0.500 0.000
8 Cl 0.657 0.657 0.583
9 Cl 0.826 0.826 0.983

Its calculated density is 1620 kg/m³. As for the uncorrected formation energy: -1.490 eV per atom.

Crystalline NaMgCl2 at its relaxed geometry, computed with PBE-GGA.

Lattice parameters (Å, degrees): 8.318 8.318 8.318 27.68 27.68 27.68
Element x y z (fractional)
1 Na 0.000 0.000 0.000
2 Mg 0.500 0.500 0.500
3 Cl 0.400 0.400 0.400
4 Cl 0.600 0.600 0.600

Its calculated density is 1791 kg/m³. As for the uncorrected formation energy: -1.282 eV per atom. The calculation puts the energy above the most stable polymorph in this dataset at 46.8 meV/atom.

Crystalline NaMgCl2 at its relaxed geometry, computed with PBE-GGA.

Lattice parameters (Å, degrees): 5.068 5.068 5.068 60.00 60.00 60.00
Element x y z (fractional)
1 Na 0.000 0.000 0.000
2 Mg 0.500 0.500 0.500
3 Cl 0.250 0.250 0.250
4 Cl 0.750 0.750 0.750

Its calculated density is 2133 kg/m³. As for the uncorrected formation energy: -1.050 eV per atom. The calculation puts the energy above the most stable polymorph in this dataset at 278.1 meV/atom.

Crystalline NaMg2Cl at its relaxed geometry, computed with PBE-GGA.

Lattice parameters (Å, degrees): 6.781 6.781 6.781 100.75 100.75 128.82
Element x y z (fractional)
1 Na 0.000 0.000 0.000
2 Na 0.750 0.250 0.500
3 Mg 0.175 0.625 0.050
4 Mg 0.375 0.425 0.550
5 Mg 0.575 0.125 0.950
6 Mg 0.875 0.825 0.450
7 Cl 0.250 0.750 0.500
8 Cl 0.500 0.500 0.000

Its calculated density is 1623 kg/m³. As for the uncorrected formation energy: -0.395 eV per atom. The calculation puts the energy above the most stable polymorph in this dataset at 0.0 meV/atom.

Crystalline Na4MgCl5 at its relaxed geometry, computed with PBE-GGA.

Lattice parameters (Å, degrees): 7.059 7.059 7.059 99.36 99.36 132.44
Element x y z (fractional)
1 Na 0.102 0.699 0.801
2 Na 0.301 0.102 0.403
3 Na 0.699 0.898 0.597
4 Na 0.898 0.301 0.199
5 Mg 0.498 0.498 0.000
6 Cl 0.196 0.398 0.594
7 Cl 0.398 0.804 0.201
8 Cl 0.602 0.196 0.799
9 Cl 0.804 0.602 0.406
10 Cl 0.966 0.966 0.000

Its calculated density is 2052 kg/m³. As for the uncorrected formation energy: -1.571 eV per atom.

Crystalline NaNdMg2Cl8 at its relaxed geometry, computed with PBE-GGA.

Lattice parameters (Å, degrees): 6.231 7.871 6.368 90.00 90.38 90.00
Element x y z (fractional)
1 Na 0.000 0.000 0.000
2 Nd 0.000 0.500 0.000
3 Mg 0.500 0.233 0.500
4 Mg 0.500 0.767 0.500
5 Cl 0.234 0.254 0.197
6 Cl 0.234 0.746 0.197
7 Cl 0.297 0.000 0.669
8 Cl 0.297 0.500 0.670
9 Cl 0.703 0.000 0.331
10 Cl 0.703 0.500 0.330
11 Cl 0.766 0.254 0.803
12 Cl 0.766 0.746 0.803

Its calculated density is 2656 kg/m³. As for the uncorrected formation energy: -1.939 eV per atom.

Crystalline Na2MgNiCl6 at its relaxed geometry, computed with PBE-GGA.

Lattice parameters (Å, degrees): 6.869 6.869 6.869 58.03 58.03 58.03
Element x y z (fractional)
1 Na 0.000 0.000 0.000
2 Na 0.499 0.499 0.499
3 Mg 0.211 0.211 0.211
4 Ni 0.709 0.709 0.709
5 Cl 0.054 0.456 0.849
6 Cl 0.358 0.943 0.567
7 Cl 0.456 0.849 0.054
8 Cl 0.567 0.358 0.943
9 Cl 0.849 0.054 0.456
10 Cl 0.943 0.567 0.358

Its calculated density is 2593 kg/m³. As for the uncorrected formation energy: -1.388 eV per atom.

Crystalline NaMgNpCl6 at its relaxed geometry, computed with PBE-GGA.

Lattice parameters (Å, degrees): 6.811 6.811 12.437 90.00 90.00 120.00
Element x y z (fractional)
1 Na 0.000 0.000 0.000
2 Na 0.000 0.000 0.500
3 Mg 0.333 0.667 0.250
4 Mg 0.667 0.333 0.750
5 Np 0.333 0.667 0.750
6 Np 0.667 0.333 0.250
7 Cl 0.024 0.366 0.133
8 Cl 0.024 0.658 0.367
9 Cl 0.342 0.366 0.367
10 Cl 0.342 0.976 0.133
11 Cl 0.366 0.024 0.633
12 Cl 0.366 0.342 0.867
13 Cl 0.634 0.658 0.133
14 Cl 0.634 0.976 0.367
15 Cl 0.658 0.024 0.867
16 Cl 0.658 0.634 0.633
17 Cl 0.976 0.342 0.633
18 Cl 0.976 0.634 0.867

Its calculated density is 3303 kg/m³. As for the uncorrected formation energy: -1.766 eV per atom.

Crystalline Na2MgPbCl6 at its relaxed geometry, computed with PBE-GGA.

Lattice parameters (Å, degrees): 7.440 7.440 7.440 56.01 56.01 56.01
Element x y z (fractional)
1 Na 0.000 0.000 0.000
2 Na 0.492 0.492 0.492
3 Mg 0.693 0.693 0.693
4 Pb 0.199 0.199 0.199
5 Cl 0.058 0.441 0.790
6 Cl 0.321 0.893 0.604
7 Cl 0.441 0.790 0.058
8 Cl 0.604 0.321 0.893
9 Cl 0.790 0.058 0.441
10 Cl 0.893 0.604 0.321

Its calculated density is 3081 kg/m³. As for the uncorrected formation energy: -1.605 eV per atom.

Crystalline Na2MgPdCl6 at its relaxed geometry, computed with PBE-GGA.

Lattice parameters (Å, degrees): 6.207 6.755 7.321 65.62 66.03 89.95
Element x y z (fractional)
1 Na 0.000 0.000 0.000
2 Na 0.465 0.500 0.001
3 Mg 0.766 0.387 0.449
4 Pd 0.277 0.895 0.436
5 Cl 0.059 0.148 0.294
6 Cl 0.170 0.676 0.295
7 Cl 0.377 0.119 0.574
8 Cl 0.500 0.648 0.572
9 Cl 0.704 0.214 0.828
10 Cl 0.845 0.585 0.063

Its calculated density is 2583 kg/m³. As for the uncorrected formation energy: -1.360 eV per atom.

Crystalline NaPmMg2Cl8 at its relaxed geometry, computed with PBE-GGA.

Lattice parameters (Å, degrees): 6.205 7.856 6.352 90.00 90.38 90.00
Element x y z (fractional)
1 Na 0.000 0.000 0.000
2 Pm 0.000 0.500 0.000
3 Mg 0.500 0.234 0.500
4 Mg 0.500 0.766 0.500
5 Cl 0.234 0.255 0.195
6 Cl 0.234 0.745 0.195
7 Cl 0.295 0.500 0.670
8 Cl 0.296 0.000 0.668
9 Cl 0.704 0.000 0.332
10 Cl 0.705 0.500 0.330
11 Cl 0.766 0.255 0.805
12 Cl 0.766 0.745 0.805

Its calculated density is 2683 kg/m³. As for the uncorrected formation energy: -1.943 eV per atom.

Crystalline NaPrMgCl6 at its relaxed geometry, computed with PBE-GGA.

Lattice parameters (Å, degrees): 6.856 6.856 12.418 90.00 90.00 120.00
Element x y z (fractional)
1 Na 0.000 0.000 0.000
2 Na 0.000 0.000 0.500
3 Pr 0.333 0.667 0.250
4 Pr 0.667 0.333 0.750
5 Mg 0.333 0.667 0.750
6 Mg 0.667 0.333 0.250
7 Cl 0.027 0.368 0.632
8 Cl 0.027 0.659 0.868
9 Cl 0.341 0.368 0.868
10 Cl 0.341 0.973 0.632
11 Cl 0.368 0.027 0.132
12 Cl 0.368 0.341 0.368
13 Cl 0.632 0.659 0.632
14 Cl 0.632 0.973 0.868
15 Cl 0.659 0.027 0.368
16 Cl 0.659 0.632 0.132
17 Cl 0.973 0.341 0.132
18 Cl 0.973 0.632 0.368

Its calculated density is 2634 kg/m³. As for the uncorrected formation energy: -2.015 eV per atom.

Crystalline NaPuMgCl6 at its relaxed geometry, computed with PBE-GGA.

Lattice parameters (Å, degrees): 6.807 6.807 12.399 90.00 90.00 120.00
Element x y z (fractional)
1 Na 0.000 0.000 0.000
2 Na 0.000 0.000 0.500
3 Pu 0.333 0.667 0.250
4 Pu 0.667 0.333 0.750
5 Mg 0.333 0.667 0.750
6 Mg 0.667 0.333 0.250
7 Cl 0.023 0.366 0.634
8 Cl 0.023 0.657 0.866
9 Cl 0.343 0.366 0.866
10 Cl 0.343 0.977 0.634
11 Cl 0.366 0.023 0.134
12 Cl 0.366 0.343 0.366
13 Cl 0.634 0.657 0.634
14 Cl 0.634 0.977 0.866
15 Cl 0.657 0.023 0.366
16 Cl 0.657 0.634 0.134
17 Cl 0.977 0.343 0.134
18 Cl 0.977 0.634 0.366

Its calculated density is 3365 kg/m³. As for the uncorrected formation energy: -1.855 eV per atom.

Crystalline NaPuMg2Cl8 at its relaxed geometry, computed with PBE-GGA.

Lattice parameters (Å, degrees): 6.233 7.799 6.356 90.00 90.31 90.00
Element x y z (fractional)
1 Na 0.000 0.000 0.000
2 Pu 0.000 0.500 0.000
3 Mg 0.500 0.236 0.500
4 Mg 0.500 0.764 0.500
5 Cl 0.241 0.257 0.189
6 Cl 0.241 0.743 0.189
7 Cl 0.293 0.000 0.663
8 Cl 0.293 0.500 0.667
9 Cl 0.707 0.000 0.337
10 Cl 0.707 0.500 0.333
11 Cl 0.759 0.257 0.811
12 Cl 0.759 0.743 0.811

Its calculated density is 3220 kg/m³. As for the uncorrected formation energy: -1.815 eV per atom.

Crystalline Na2PuMgCl8 at its relaxed geometry, computed with PBE-GGA.

Lattice parameters (Å, degrees): 6.340 8.034 6.570 90.00 95.14 90.00
Element x y z (fractional)
1 Na 0.000 0.231 0.000
2 Na 0.000 0.769 0.000
3 Pu 0.500 0.500 0.500
4 Mg 0.500 0.000 0.500
5 Cl 0.232 0.500 0.179
6 Cl 0.246 0.000 0.207
7 Cl 0.294 0.254 0.656
8 Cl 0.294 0.746 0.656
9 Cl 0.706 0.254 0.344
10 Cl 0.706 0.746 0.344
11 Cl 0.754 0.000 0.793
12 Cl 0.768 0.500 0.821

Its calculated density is 2979 kg/m³. As for the uncorrected formation energy: -1.729 eV per atom.

Crystalline RbNaMg2Cl6 at its relaxed geometry, computed with PBE-GGA.

Lattice parameters (Å, degrees): 9.588 9.588 7.007 96.27 96.27 90.55
Element x y z (fractional)
1 Rb 0.100 0.900 0.750
2 Rb 0.900 0.100 0.250
3 Na 0.280 0.720 0.250
4 Na 0.720 0.280 0.750
5 Mg 0.217 0.383 0.729
6 Mg 0.383 0.217 0.229
7 Mg 0.617 0.783 0.771
8 Mg 0.783 0.617 0.271
9 Cl 0.021 0.232 0.687
10 Cl 0.176 0.598 0.896
11 Cl 0.232 0.021 0.187
12 Cl 0.280 0.412 0.409
13 Cl 0.402 0.824 0.604
14 Cl 0.412 0.280 0.909
15 Cl 0.588 0.720 0.091
16 Cl 0.598 0.176 0.396
17 Cl 0.720 0.588 0.591
18 Cl 0.768 0.979 0.813
19 Cl 0.824 0.402 0.104
20 Cl 0.979 0.768 0.313

Its calculated density is 1930 kg/m³. As for the uncorrected formation energy: -1.827 eV per atom.

Crystalline Rb2NaMg2Cl7 at its relaxed geometry, computed with PBE-GGA.

Lattice parameters (Å, degrees): 13.548 13.548 13.548 158.62 158.62 30.41
Element x y z (fractional)
1 Rb 0.181 0.181 0.000
2 Rb 0.819 0.819 0.000
3 Na 0.000 0.000 0.000
4 Mg 0.404 0.404 0.000
5 Mg 0.596 0.596 0.000
6 Cl 0.091 0.591 0.500
7 Cl 0.309 0.309 0.000
8 Cl 0.409 0.909 0.500
9 Cl 0.500 0.500 0.000
10 Cl 0.591 0.091 0.500
11 Cl 0.691 0.691 0.000
12 Cl 0.909 0.409 0.500

Its calculated density is 2467 kg/m³. As for the uncorrected formation energy: -1.844 eV per atom.

Crystalline RbNaMgCl4 at its relaxed geometry, computed with PBE-GGA.

Lattice parameters (Å, degrees): 7.059 7.210 8.834 90.00 106.98 90.00
Element x y z (fractional)
1 Rb 0.249 0.250 0.445
2 Rb 0.751 0.750 0.555
3 Na 0.294 0.250 0.950
4 Na 0.706 0.750 0.050
5 Mg 0.250 0.750 0.168
6 Mg 0.750 0.250 0.832
7 Cl 0.024 0.750 0.917
8 Cl 0.064 0.750 0.347
9 Cl 0.483 0.506 0.213
10 Cl 0.483 0.994 0.213
11 Cl 0.517 0.006 0.787
12 Cl 0.517 0.494 0.787
13 Cl 0.936 0.250 0.653
14 Cl 0.976 0.250 0.083

Its calculated density is 2121 kg/m³. As for the uncorrected formation energy: -1.850 eV per atom.